[1]
DFT (GGA-PBE) results for a geometry-optimized Ac2Ag3Hg structure.

a b c (Å): 9.851 9.398 6.356
angles (deg): 74.62 66.91 38.47
Positions (direct):
Ac  0.247  0.753  0.753
Ac  0.250  0.250  0.250
Ac  0.750  0.750  0.750
Ac  0.753  0.247  0.247
Ag  0.165  0.165  0.835
Ag  0.165  0.670  0.330
Ag  0.330  0.835  0.165
Ag  0.670  0.165  0.835
Ag  0.835  0.330  0.670
Ag  0.835  0.835  0.165
Hg  0.334  0.334  0.666
Hg  0.666  0.666  0.334

Summary:
For the energy above the most stable polymorph in this dataset, the calculation gives 0 meV/atom.


[2]
DFT (GGA-PBE) results for a geometry-optimized Ac2Ag2Hg3 structure.

a b c (Å): 10.902 10.902 8.308
angles (deg): 90.00 90.00 156.58
Positions (direct):
Ac  0.065  0.935  0.750
Ac  0.160  0.840  0.250
Ac  0.840  0.160  0.750
Ac  0.935  0.065  0.250
Ag  0.314  0.686  0.057
Ag  0.314  0.686  0.443
Ag  0.686  0.314  0.557
Ag  0.686  0.314  0.943
Hg  0.226  0.774  0.750
Hg  0.440  0.560  0.573
Hg  0.440  0.560  0.927
Hg  0.560  0.440  0.073
Hg  0.560  0.440  0.427
Hg  0.774  0.226  0.250

Summary:
For the energy above the most stable polymorph in this dataset, the calculation gives 0 meV/atom.


[3]
DFT (GGA-PBE) results for a geometry-optimized AcAgHg structure.

a b c (Å): 7.226 7.226 7.226
angles (deg): 90.00 90.00 90.00
Positions (direct):
Ac  0.000  0.000  0.000
Ac  0.000  0.500  0.500
Ac  0.500  0.000  0.500
Ac  0.500  0.500  0.000
Ag  0.250  0.250  0.250
Ag  0.250  0.750  0.750
Ag  0.750  0.250  0.750
Ag  0.750  0.750  0.250
Hg  0.000  0.000  0.500
Hg  0.000  0.500  0.000
Hg  0.500  0.000  0.000
Hg  0.500  0.500  0.500

Summary:
For the energy above the most stable polymorph in this dataset, the calculation gives 167 meV/atom.


[4]
DFT (GGA-PBE) results for a geometry-optimized Ac12AgHg6 structure.

a b c (Å): 9.443 9.443 9.443
angles (deg): 99.98 99.98 99.98
Positions (direct):
Ac  0.042  0.677  0.923
Ac  0.077  0.958  0.323
Ac  0.183  0.420  0.566
Ac  0.323  0.077  0.958
Ac  0.420  0.566  0.183
Ac  0.434  0.817  0.580
Ac  0.566  0.183  0.420
Ac  0.580  0.434  0.817
Ac  0.677  0.923  0.042
Ac  0.817  0.580  0.434
Ac  0.923  0.042  0.677
Ac  0.958  0.323  0.077
Ag  0.000  0.000  0.000
Hg  0.136  0.629  0.313
Hg  0.313  0.136  0.629
Hg  0.371  0.687  0.864
Hg  0.629  0.313  0.136
Hg  0.687  0.864  0.371
Hg  0.864  0.371  0.687


no.,formation energy from the elements (meV per atom)
1,-354
2,-331
3,-241
4,-108